{
  "formula": "Ce2MgAl",
  "functional": "PBE",
  "state": "optimized geometry",
  "lattice_angstrom": [[5.2676, 0.0000, 0.0000], [2.6338, 4.5619, 0.0000], [2.6338, 1.5206, 4.3010]],
  "species": ["Al", "Ce", "Ce", "Mg"],
  "frac_coords": [[0.0000, 0.0000, 0.0000], [0.2500, 0.2500, 0.2500], [0.7500, 0.7500, 0.7500], [0.5000, 0.5000, 0.5000]],
  "relative_energy_mev_per_atom": 48,
  "e_form_kj_per_mol_fu": -36,
  "sg": "No. 225",
  "total_magnetization_mub_per_fu": 1.15
}

=====

{
  "formula": "CeMg14Al",
  "functional": "PBE",
  "state": "optimized geometry",
  "lattice_angstrom": [[3.1630, -5.6848, 0.0000], [3.1630, 5.6848, 0.0000], [0.0000, 0.0000, 10.3899]],
  "species": ["Mg", "Mg", "Mg", "Mg", "Mg", "Mg", "Ce", "Mg", "Mg", "Mg", "Mg", "Mg", "Mg", "Al", "Mg", "Mg"],
  "frac_coords": [[0.6688, 0.8303, 0.7525], [0.1697, 0.3312, 0.7525], [0.1667, 0.8333, 0.2426], [0.6751, 0.3249, 0.2698], [0.6751, 0.3249, 0.7302], [0.8288, 0.6845, 0.5000], [0.3235, 0.6765, 0.5000], [0.8305, 0.1695, 0.0000], [0.3155, 0.1712, 0.5000], [0.3327, 0.6673, 0.0000], [0.3378, 0.1721, 0.0000], [0.6688, 0.8303, 0.2475], [0.8279, 0.6622, 0.0000], [0.8428, 0.1572, 0.5000], [0.1697, 0.3312, 0.2475], [0.1667, 0.8333, 0.7574]],
  "relative_energy_mev_per_atom": 0,
  "e_form_kj_per_mol_fu": 22,
  "sg": "No. 38",
  "total_magnetization_mub_per_fu": 1.04
}

=====

{
  "formula": "Ce3MgAl8",
  "functional": "PBE",
  "state": "optimized geometry",
  "lattice_angstrom": [[-1.0843, 4.3132, -3.3446], [-4.5576, -0.0318, -3.1927], [-6.6069, 5.4397, 4.5275]],
  "species": ["Al", "Al", "Ce", "Al", "Mg", "Al", "Al", "Ce", "Al", "Ce", "Al", "Al"],
  "frac_coords": [[0.9381, 0.9381, 0.6861], [0.4370, 0.4370, 0.1881], [0.9988, 0.9988, 0.0036], [0.4370, 0.9379, 0.1881], [0.8759, 0.8759, 0.3722], [0.4377, 0.9381, 0.6861], [0.9379, 0.4370, 0.1881], [0.3732, 0.3732, 0.8804], [0.6871, 0.6871, 0.9388], [0.5017, 0.5017, 0.4950], [0.9381, 0.4377, 0.6861], [0.1876, 0.1876, 0.4373]],
  "e_form_kj_per_mol_fu": -405,
  "sg": "No. 160",
  "total_magnetization_mub_per_fu": 2.02
}

=====

{
  "formula": "Ce5MgAl4",
  "functional": "PBE",
  "state": "optimized geometry",
  "lattice_angstrom": [[3.1443, 0.0000, 0.0000], [0.0000, 3.1443, 0.0000], [0.0000, 0.0000, 23.5502]],
  "species": ["Ce", "Al", "Ce", "Ce", "Mg", "Al", "Al", "Ce", "Al", "Ce"],
  "frac_coords": [[0.5000, 0.5000, 0.3056], [0.0000, 0.0000, 0.5973], [0.5000, 0.5000, 0.5000], [0.5000, 0.5000, 0.6944], [0.0000, 0.0000, 0.0000], [0.0000, 0.0000, 0.7920], [0.0000, 0.0000, 0.4027], [0.5000, 0.5000, 0.8864], [0.0000, 0.0000, 0.2080], [0.5000, 0.5000, 0.1136]],
  "e_form_kj_per_mol_fu": -242,
  "sg": "No. 123",
  "total_magnetization_mub_per_fu": 0.15
}

=====

{
  "formula": "Ce2MgAl",
  "functional": "PBE",
  "state": "optimized geometry",
  "lattice_angstrom": [[-1.0804, -1.4277, -3.5527], [-3.0538, -1.9053, 1.6944], [-3.8439, 5.3047, -0.9628]],
  "species": ["Ce", "Ce", "Al", "Mg"],
  "frac_coords": [[0.0000, 0.0000, 0.7902], [0.0000, 0.0000, 0.2098], [0.5000, 0.5000, 0.0000], [0.5000, 0.5000, 0.5000]],
  "relative_energy_mev_per_atom": 37,
  "e_form_kj_per_mol_fu": -40,
  "sg": "No. 123",
  "total_magnetization_mub_per_fu": 1.32
}

=====

{
  "formula": "Ce4MgAl",
  "functional": "PBE",
  "state": "optimized geometry",
  "lattice_angstrom": [[5.0047, 0.0044, 1.8426], [2.7043, 5.3516, 0.3693], [0.7273, -1.5684, 5.7529]],
  "species": ["Ce", "Ce", "Al", "Ce", "Mg", "Ce"],
  "frac_coords": [[0.7484, 0.9078, 0.5953], [0.2514, 0.4046, 0.0923], [0.5000, 0.5000, 0.5000], [0.2515, 0.0922, 0.4047], [0.0000, 0.0000, 0.0000], [0.7485, 0.5954, 0.9077]],
  "e_form_kj_per_mol_fu": -50,
  "sg": "No. 12",
  "total_magnetization_mub_per_fu": 0.39
}

=====

{
  "formula": "CeMgAl2",
  "functional": "PBE",
  "state": "optimized geometry",
  "lattice_angstrom": [[-3.1466, 1.0596, -0.1577], [-0.8557, -2.7805, -1.6080], [-1.4915, -3.4290, 6.7231]],
  "species": ["Al", "Al", "Mg", "Ce"],
  "frac_coords": [[0.0000, 0.0000, 0.7799], [0.0000, 0.0000, 0.2201], [0.5000, 0.5000, 0.0000], [0.5000, 0.5000, 0.5000]],
  "e_form_kj_per_mol_fu": -61,
  "sg": "No. 123",
  "total_magnetization_mub_per_fu": 0.37
}

=====

{
  "formula": "CeMgAl11",
  "functional": "PBE",
  "state": "optimized geometry",
  "lattice_angstrom": [[-0.4365, 5.2948, 1.4863], [-6.7997, 2.0913, 0.6059], [-0.2005, 0.8935, 6.9962]],
  "species": ["Mg", "Al", "Al", "Al", "Al", "Al", "Al", "Ce", "Al", "Al", "Al", "Al", "Al"],
  "frac_coords": [[0.5000, 0.5000, 0.0000], [0.5005, 0.7865, 0.2184], [0.0000, 0.0000, 0.5000], [0.0000, 0.5000, 0.0000], [0.5000, 0.0000, 0.5000], [0.9874, 0.6476, 0.3594], [0.2811, 0.2135, 0.2184], [0.0000, 0.0000, 0.0000], [0.7189, 0.7865, 0.7816], [0.0126, 0.3524, 0.6406], [0.4995, 0.2135, 0.7816], [0.6532, 0.3524, 0.3594], [0.3468, 0.6476, 0.6406]],
  "e_form_kj_per_mol_fu": -111,
  "sg": "No. 12",
  "total_magnetization_mub_per_fu": 0.01
}

=====

{
  "formula": "CeMg14Al",
  "functional": "PBE",
  "state": "optimized geometry",
  "lattice_angstrom": [[3.2430, -5.6170, 0.0000], [3.2430, 5.6170, 0.0000], [0.0000, 0.0000, 10.2726]],
  "species": ["Mg", "Mg", "Mg", "Mg", "Al", "Mg", "Mg", "Mg", "Mg", "Mg", "Mg", "Ce", "Mg", "Mg", "Mg", "Mg"],
  "frac_coords": [[0.1652, 0.8348, 0.2403], [0.6696, 0.8348, 0.7597], [0.4924, 0.9848, 0.5000], [0.9924, 0.4962, 0.0000], [0.0000, 0.0000, 0.0000], [0.5038, 0.4962, 0.0000], [0.1652, 0.3304, 0.2403], [0.0152, 0.5076, 0.5000], [0.4924, 0.5076, 0.5000], [0.6696, 0.8348, 0.2403], [0.6667, 0.3333, 0.2631], [0.0000, 0.0000, 0.5000], [0.1652, 0.8348, 0.7597], [0.1652, 0.3304, 0.7597], [0.6667, 0.3333, 0.7369], [0.5038, 0.0076, 0.0000]],
  "relative_energy_mev_per_atom": 36,
  "e_form_kj_per_mol_fu": 78,
  "sg": "No. 187",
  "total_magnetization_mub_per_fu": 1.09
}

=====

{
  "formula": "CeMgAl2",
  "functional": "PBE",
  "state": "optimized geometry",
  "lattice_angstrom": [[-0.4414, -0.1634, 4.3399], [-3.0672, -3.2524, -0.4344], [3.2497, -3.0933, 0.2140]],
  "species": ["Ce", "Al", "Mg", "Al"],
  "frac_coords": [[0.5000, 0.5000, 0.5000], [0.0000, 0.0000, 0.5000], [0.5000, 0.0000, 0.0000], [0.0000, 0.5000, 0.0000]],
  "e_form_kj_per_mol_fu": -87,
  "sg": "No. 123",
  "total_magnetization_mub_per_fu": 0.60
}

=====

{
  "formula": "CeMg3Al8",
  "functional": "PBE",
  "state": "optimized geometry",
  "lattice_angstrom": [[5.5200, 0.0000, 0.0000], [-2.7600, 4.7805, 0.0000], [0.0000, 0.0000, 8.8023]],
  "species": ["Al", "Al", "Ce", "Al", "Mg", "Al", "Al", "Mg", "Al", "Mg", "Al", "Al"],
  "frac_coords": [[0.1619, 0.8381, 0.2481], [0.6761, 0.8381, 0.2481], [0.0000, 0.0000, 0.5627], [0.3333, 0.6667, 0.4995], [0.0000, 0.0000, 0.9407], [0.9927, 0.4963, 0.7521], [0.1619, 0.3239, 0.2481], [0.6667, 0.3333, 0.0622], [0.3333, 0.6667, 0.0072], [0.6667, 0.3333, 0.4271], [0.5037, 0.0073, 0.7521], [0.5037, 0.4963, 0.7521]],
  "e_form_kj_per_mol_fu": -158,
  "sg": "No. 156",
  "total_magnetization_mub_per_fu": 0.83
}

=====

{
  "formula": "CeMgAl",
  "functional": "PBE",
  "state": "optimized geometry",
  "lattice_angstrom": [[5.7108, 0.0000, 0.0000], [2.8554, 4.2030, 0.0000], [2.8554, 0.0000, 6.0031]],
  "species": ["Ce", "Mg", "Mg", "Al", "Ce", "Al"],
  "frac_coords": [[0.1619, 0.6762, 0.0000], [0.2500, 0.5000, 0.5000], [0.7500, 0.5000, 0.5000], [0.6134, 0.0000, 0.7732], [0.8381, 0.3238, 0.0000], [0.3866, 0.0000, 0.2268]],
  "e_form_kj_per_mol_fu": -11,
  "sg": "No. 69",
  "total_magnetization_mub_per_fu": 1.16
}

=====

{
  "formula": "CeMg2Al9",
  "functional": "PBE",
  "state": "optimized geometry",
  "lattice_angstrom": [[5.2587, 0.0000, 1.5651], [2.3965, 4.6809, 1.5651], [0.0887, 0.0543, 9.3192]],
  "species": ["Al", "Al", "Al", "Al", "Al", "Al", "Al", "Mg", "Al", "Ce", "Mg", "Al"],
  "frac_coords": [[0.0793, 0.5861, 0.7485], [0.6654, 0.6654, 0.0038], [0.3346, 0.3346, 0.9962], [0.5861, 0.0793, 0.7485], [0.4139, 0.9207, 0.2515], [0.5000, 0.5000, 0.5000], [0.9207, 0.4139, 0.2515], [0.1436, 0.1436, 0.5693], [0.4139, 0.4139, 0.2515], [0.0000, 0.0000, 0.0000], [0.8564, 0.8564, 0.4307], [0.5861, 0.5861, 0.7485]],
  "e_form_kj_per_mol_fu": -138,
  "sg": "No. 166",
  "total_magnetization_mub_per_fu": 0.55
}